1.
# LiSbHPtSe

A relaxed LiSbHPtSe crystal (GGA-PBE, Alexandria via LeMat-Bulk).

Values from the calculation:
- Calculated volume: 17.156 Å³ per atom
- Excess energy over the best structure of this formula in the dataset: 3.7 kJ per mole of atoms
- Uncorrected energy: -4.177 eV/atom

a b c (Å): 5.633 3.864 8.104
angles (deg): 90.00 103.46 90.00
Atoms (fractional coordinates):
H (0.546, 0.000, 0.470)
Se (0.354, 0.000, 0.683)
Se (0.354, 0.500, 0.183)
Sb (0.871, 0.500, 0.523)
Pt (0.672, 0.000, 0.308)
Li (0.192, 0.000, 0.359)
Li (0.192, 0.500, 0.859)
Pt (0.672, 0.500, 0.808)
H (0.546, 0.500, 0.970)
Sb (0.871, 0.000, 0.023)

2.
# LiSbHPtSe

A relaxed LiSbHPtSe crystal (GGA-PBE, Alexandria via LeMat-Bulk).

Values from the calculation:
- Calculated volume: 17.419 Å³ per atom
- Excess energy over the best structure of this formula in the dataset: 7.7 kJ per mole of atoms
- Uncorrected energy: -4.136 eV/atom

a b c (Å): 4.216 3.550 6.057
angles (deg): 90.00 106.06 90.00
Atoms (fractional coordinates):
Li (0.726, 0.000, 0.481)
Se (0.475, 0.500, 0.169)
Sb (0.281, 0.500, 0.625)
H (0.880, 0.000, 0.909)
Pt (0.882, 0.500, 0.907)

3.
# LiSbHPtSe

A relaxed LiSbHPtSe crystal (GGA-PBE, Alexandria via LeMat-Bulk).

Values from the calculation:
- Calculated volume: 17.586 Å³ per atom
- Excess energy over the best structure of this formula in the dataset: 1.3 kJ per mole of atoms
- Uncorrected energy: -4.202 eV/atom

a b c (Å): 3.530 3.900 12.776
angles (deg): 90.00 90.00 90.00
Atoms (fractional coordinates):
Pt (0.500, 0.500, 0.243)
Sb (0.500, 0.000, 0.105)
H (0.000, 0.500, 0.235)
Li (0.000, 0.000, 0.911)
Se (0.500, 0.000, 0.382)
Pt (0.500, 0.000, 0.743)
H (0.000, 0.000, 0.735)
Li (0.000, 0.500, 0.411)
Se (0.500, 0.500, 0.882)
Sb (0.500, 0.500, 0.605)

4.
# LiSbHPtSe

A relaxed LiSbHPtSe crystal (GGA-PBE, Alexandria via LeMat-Bulk).

Values from the calculation:
- Calculated volume: 19.621 Å³ per atom
- Excess energy over the best structure of this formula in the dataset: 1.0 kJ per mole of atoms
- Uncorrected energy: -4.205 eV/atom

a b c (Å): 3.937 4.785 5.803
angles (deg): 99.33 90.02 114.20
Atoms (fractional coordinates):
H (0.180, 0.726, 0.027)
Li (0.812, 0.987, 0.959)
Se (0.419, 0.201, 0.721)
Sb (0.554, 0.471, 0.354)
Pt (0.244, 0.854, 0.304)

5.
# LiSbHPtSe

A relaxed LiSbHPtSe crystal (GGA-PBE, Alexandria via LeMat-Bulk).

Values from the calculation:
- Calculated volume: 18.643 Å³ per atom
- Excess energy over the best structure of this formula in the dataset: 3.3 kJ per mole of atoms
- Uncorrected energy: -4.182 eV/atom

a b c (Å): 6.308 4.283 7.490
angles (deg): 90.00 112.90 90.00
Atoms (fractional coordinates):
H (0.932, 0.500, 0.566)
Li (0.372, 0.500, 0.049)
Li (0.372, 0.000, 0.549)
Sb (0.838, 0.000, 0.366)
Pt (0.654, 0.000, 0.974)
Pt (0.654, 0.500, 0.474)
H (0.932, 0.000, 0.066)
Sb (0.838, 0.500, 0.866)
Se (0.233, 0.500, 0.335)
Se (0.233, 0.000, 0.835)

6.
# LiScHPt2

A relaxed LiScHPt2 crystal (GGA-PBE, Alexandria via LeMat-Bulk).

Values from the calculation:
- Calculated volume: 13.225 Å³ per atom
- Excess energy over the best structure of this formula in the dataset: 5.5 kJ per mole of atoms
- Uncorrected energy: -5.363 eV/atom

a b c (Å): 4.043 4.046 4.043
angles (deg): 90.00 90.00 90.00
Atoms (fractional coordinates):
Pt (0.500, 0.000, 0.000)
Sc (0.000, 0.500, 0.000)
Pt (0.000, 0.000, 0.500)
Li (0.500, 0.500, 0.500)
H (0.000, 0.000, 0.000)

7.
# Li2ScHPt

A relaxed Li2ScHPt crystal (GGA-PBE, Alexandria via LeMat-Bulk).

Values from the calculation:
- Calculated volume: 13.195 Å³ per atom
- Excess energy over the best structure of this formula in the dataset: 0.0 kJ per mole of atoms
- Uncorrected energy: -4.509 eV/atom

a b c (Å): 3.810 3.810 4.544
angles (deg): 90.00 90.00 90.00
Atoms (fractional coordinates):
H (0.000, 0.000, 0.000)
Pt (0.500, 0.500, 0.500)
Sc (0.000, 0.000, 0.500)
Li (0.500, 0.000, 0.000)
Li (0.000, 0.500, 0.000)

8.
# Li2ScHPt

A relaxed Li2ScHPt crystal (GGA-PBE, Alexandria via LeMat-Bulk).

Values from the calculation:
- Calculated volume: 15.532 Å³ per atom
- Excess energy over the best structure of this formula in the dataset: 64.9 kJ per mole of atoms
- Uncorrected energy: -3.837 eV/atom

a b c (Å): 4.721 3.485 4.721
angles (deg): 90.00 90.00 90.00
Each line ends with the local moment (μB).
Atoms (fractional coordinates):
Pt (0.000, 0.000, 0.000)  0.00
Li (0.500, 0.000, 0.000)  0.00
Li (0.000, 0.000, 0.500)  0.00
Sc (0.500, 0.500, 0.500)  0.11
H (0.000, 0.500, 0.000)  0.00